A relaxed CaMg2Cu9 crystal, computed with GGA-PBE.

Cell: 8.5487 8.5487 8.5487 Å, 34.50 34.50 34.50°
Fractional positions:
Ca 0.0000 0.0000 0.0000
Cu 0.3335 0.3335 0.3335
Cu 0.6665 0.6665 0.6665
Cu 0.5000 0.5000 0.5000
Cu 0.0815 0.5869 0.5869
Cu 0.5869 0.0815 0.5869
Cu 0.5869 0.5869 0.0815
Cu 0.9185 0.4131 0.4131
Cu 0.4131 0.4131 0.9185
Cu 0.4131 0.9185 0.4131
Mg 0.1454 0.1454 0.1454
Mg 0.8546 0.8546 0.8546

Results
crystal system = trigonal
raw total energy = -43.545 eV/cell
Fermi-level density of states = 0.485 states/eV/atom